[1]
# Li8Bi6Au

An optimized crystal structure of Li8Bi6Au (PBE-GGA, Alexandria via LeMat-Bulk).

Its energy relative to the elements is -0.287 eV per atom. As for the crystal system: trigonal.

abc: 8.618 8.618 7.340
angles: 54.05 54.05 60.00
Positions (direct):
Li1 0.949 0.640 0.274
Li2 0.282 0.282 0.155
Li3 0.136 0.949 0.274
Bi1 0.441 0.148 0.755
Bi2 0.148 0.656 0.755
Li4 0.360 0.864 0.726
Bi3 0.852 0.344 0.245
Li5 0.640 0.136 0.274
Li6 0.051 0.360 0.726
Au1 0.000 0.000 0.000
Bi4 0.656 0.441 0.755
Bi5 0.344 0.559 0.245
Bi6 0.559 0.852 0.245
Li7 0.864 0.051 0.726
Li8 0.718 0.718 0.845

[2]
# LiBi2Au2

An optimized crystal structure of LiBi2Au2 (PBE-GGA, Alexandria via LeMat-Bulk).

Its energy relative to the elements is -0.213 eV per atom. As for the crystal system: monoclinic.

abc: 5.142 4.600 10.559
angles: 90.00 104.45 90.00
Positions (direct):
Au1 0.873 0.750 0.307
Bi1 0.276 0.750 0.551
Bi2 0.724 0.250 0.449
Li1 0.844 0.250 0.151
Au2 0.127 0.250 0.693
Li2 0.156 0.750 0.849
Au3 0.296 0.250 0.003
Bi3 0.701 0.250 0.830
Bi4 0.299 0.750 0.170
Au4 0.704 0.750 0.997

[3]
# LiBi2Au2

An optimized crystal structure of LiBi2Au2 (PBE-GGA, Alexandria via LeMat-Bulk).

Its energy relative to the elements is -0.190 eV per atom. As for the crystal system: monoclinic.

abc: 4.417 5.840 9.702
angles: 84.94 76.84 67.78
Positions (direct):
Bi1 0.305 0.268 0.122
Li1 0.789 0.078 0.344
Li2 0.211 0.922 0.656
Au1 0.961 0.184 0.894
Au2 0.849 0.741 0.561
Bi2 0.497 0.680 0.327
Bi3 0.695 0.732 0.878
Au3 0.151 0.259 0.439
Au4 0.039 0.816 0.106
Bi4 0.503 0.320 0.673

[4]
# Li6BiAu2

An optimized crystal structure of Li6BiAu2 (PBE-GGA, Alexandria via LeMat-Bulk).

Its energy relative to the elements is -0.348 eV per atom. As for the crystal system: orthorhombic.

abc: 4.705 6.232 7.625
angles: 114.12 108.00 90.00
Positions (direct):
Li1 0.830 0.565 0.657
Bi1 0.000 0.000 0.000
Li2 0.170 0.907 0.343
Li3 0.170 0.435 0.343
Li4 0.830 0.093 0.657
Au1 0.332 0.331 0.662
Au2 0.668 0.669 0.338
Li5 0.500 0.244 0.000
Li6 0.500 0.756 0.000

[5]
# LiBi2Au

An optimized crystal structure of LiBi2Au (PBE-GGA, Alexandria via LeMat-Bulk).

Its energy relative to the elements is 0.044 eV per atom. As for the crystal system: trigonal.

abc: 3.599 3.599 10.202
angles: 79.84 79.84 60.00
Positions (direct):
Bi1 0.905 0.905 0.285
Bi2 0.095 0.095 0.715
Li1 0.000 0.000 0.000
Au1 0.500 0.500 0.500

[6]
# LiBi2Au2

An optimized crystal structure of LiBi2Au2 (PBE-GGA, Alexandria via LeMat-Bulk).

Its energy relative to the elements is -0.052 eV per atom. As for the crystal system: tetragonal.

abc: 3.907 3.907 8.640
angles: 76.93 76.93 90.00
Positions (direct):
Li1 0.000 0.000 0.000
Bi1 0.606 0.606 0.788
Au1 0.250 0.750 0.500
Bi2 0.394 0.394 0.212
Au2 0.750 0.250 0.500

[7]
# LiBiAu3

An optimized crystal structure of LiBiAu3 (PBE-GGA, Alexandria via LeMat-Bulk).

Its energy relative to the elements is -0.203 eV per atom. As for the crystal system: triclinic.

abc: 5.519 7.381 5.598
angles: 116.96 95.98 99.67
Positions (direct):
Li1 0.500 0.000 0.000
Bi1 0.702 0.832 0.389
Bi2 0.298 0.168 0.611
Au1 0.842 0.289 0.451
Au2 0.169 0.685 0.028
Au3 0.158 0.711 0.549
Li2 0.000 0.000 0.000
Au4 0.371 0.374 0.213
Au5 0.629 0.626 0.787
Au6 0.831 0.315 0.972

[8]
# Li4BiAu2

An optimized crystal structure of Li4BiAu2 (PBE-GGA, Alexandria via LeMat-Bulk).

Its energy relative to the elements is -0.438 eV per atom. As for the crystal system: trigonal.

abc: 4.595 4.595 7.679
angles: 72.59 72.59 60.00
Positions (direct):
Au1 0.743 0.743 0.771
Au2 0.257 0.257 0.229
Li1 0.865 0.865 0.406
Li2 0.135 0.135 0.594
Li3 0.595 0.595 0.216
Bi1 0.000 0.000 0.000
Li4 0.405 0.405 0.784